(1)
The following is a PBE-GGA calculation of a relaxed Ba2TcAu crystal, from the Alexandria database.

Results
N(E_F) in states/eV per atom: 0.762
Magnetization in μB per formula unit: 2.004
ΔE_f in eV per formula unit: 2.00
Volume in Å³ per atom: 33.3

Cell: 3.733 5.499 6.490 Å, 90.00 90.00 90.00°
Space group Pmmm (No. 47)
Inequivalent atoms, fractional coordinates:
1 Ba 0.000 0.000 0.000
2 Ba 0.500 0.500 0.500
3 Tc 0.000 0.000 0.500
4 Au 0.500 0.500 0.000



(2)
The following is a PBE-GGA calculation of a relaxed Tl2AgOs crystal, from the Alexandria database.

Results
N(E_F) in states/eV per atom: 0.600
Magnetization in μB per formula unit: 1.111
ΔE_f in eV per formula unit: 4.15
Volume in Å³ per atom: 22.7

Cell: 4.343 4.343 19.220 Å, 90.00 90.00 90.00°
Space group I-42d (No. 122)
Inequivalent atoms, fractional coordinates:
1 Tl 0.236 0.250 0.125
2 Ag 0.000 0.000 0.500
3 Os 0.000 0.000 0.000



(3)
The following is a PBE-GGA calculation of a relaxed PrSm2Al crystal, from the Alexandria database.

Results
N(E_F) in states/eV per atom: 0.814
Magnetization in μB per formula unit: 0.000
ΔE_f in eV per formula unit: -0.68
Volume in Å³ per atom: 30.0

Cell: 3.589 3.589 9.326 Å, 90.00 90.00 90.00°
Space group P4/mmm (No. 123)
Inequivalent atoms, fractional coordinates:
1 Pr 0.000 0.000 0.000
2 Sm 0.500 0.500 0.290
3 Al 0.000 0.000 0.500



(4)
The following is a PBE-GGA calculation of a relaxed Hf5ZnCo6 crystal, from the Alexandria database.

Results
N(E_F) in states/eV per atom: 0.639
Magnetization in μB per formula unit: 3.236
ΔE_f in eV per formula unit: -4.46
Volume in Å³ per atom: 15.1

Cell: 4.385 6.266 13.189 Å, 90.00 90.00 90.00°
Space group Immm (No. 71)
Inequivalent atoms, fractional coordinates:
1 Hf 0.000 0.000 0.000
2 Hf 0.000 0.000 0.345
3 Hf 0.000 0.500 0.330
4 Zn 0.000 0.500 0.000
5 Co 0.000 0.244 0.170
6 Co 0.000 0.265 0.500



(5)
The following is a PBE-GGA calculation of a relaxed CeBiO4 crystal, from the Alexandria database.

Results
N(E_F) in states/eV per atom: 0.510
Magnetization in μB per formula unit: 0.000
Formation energy from raw total energies in eV per atom: -2.152
Volume in Å³ per atom: 13.8

Cell: 3.8419 3.8419 19.4458 Å, 90.00 90.00 120.00°
Space group R-3m (No. 166, hexagonal axes)
Inequivalent atoms, fractional coordinates:
1 Ce 0.0000 0.0000 0.0000
2 Bi 0.0000 0.0000 0.5000
3 O 0.0000 0.0000 0.1263
4 O 0.0000 0.0000 0.3745



(6)
The following is a PBE-GGA calculation of a relaxed TlInGa2Rh crystal, from the Alexandria database.

Results
N(E_F) in states/eV per atom: 0.419
Magnetization in μB per formula unit: 0.000
ΔE_f in eV per formula unit: -0.92
Volume in Å³ per atom: 24.4

Cell: 4.827 4.827 5.230 Å, 90.00 90.00 90.00°
Space group P4/mmm (No. 123)
Inequivalent atoms, fractional coordinates:
1 Tl 0.000 0.000 0.000
2 In 0.500 0.500 0.000
3 Ga 0.000 0.500 0.500
4 Rh 0.500 0.500 0.500



(7)
The following is a PBE-GGA calculation of a relaxed Li12Mg6Rh crystal, from the Alexandria database.

Results
N(E_F) in states/eV per atom: 0.519
Magnetization in μB per formula unit: 0.000
ΔE_f in eV per formula unit: -1.11
Volume in Å³ per atom: 20.1

Cell: 10.3984 10.3984 12.2506 Å, 90.00 90.00 120.00°
Space group R-3 (No. 148, hexagonal axes)
Inequivalent atoms, fractional coordinates:
1 Li 0.0403 0.1751 0.3141
2 Li 0.0633 0.8580 0.9072
3 Mg 0.0416 0.4438 0.2106
4 Rh 0.0000 0.0000 0.5000



(8)
The following is a PBE-GGA calculation of a relaxed AcLa2Al6 crystal, from the Alexandria database.

Results
N(E_F) in states/eV per atom: 0.953
Magnetization in μB per formula unit: 0.000
ΔE_f in eV per formula unit: -3.89
Volume in Å³ per atom: 26.3

Cell: 7.7767 7.7767 4.5128 Å, 90.00 90.00 120.00°
Space group P6/mmm (No. 191)
Inequivalent atoms, fractional coordinates:
1 Ac 0.0000 0.0000 0.0000
2 La 0.3333 0.6667 0.0000
3 Al 0.0000 0.3356 0.5000